Record 1
A plane-wave DFT calculation with meta-GGA SCAN was carried out for BaMg2Tl at its PBEsol-relaxed geometry.

Cell lengths 3.6095, 6.0555, 6.0555 Å; angles 109.03, 90.00, 90.00 degrees
Closest atoms and distances in Å follow each position.
Fractional coordinates of all 4 atoms:
Mg (0.0000, 0.5000, 0.0000)  4 Mg 3.52-3.61, 4 Ba 3.52, 4 Tl 3.52
Mg (0.0000, 0.0000, 0.5000)  4 Mg 3.52-3.61, 4 Tl 3.52, 4 Ba 3.52
Tl (0.5000, 0.0000, 0.0000)  2 Ba 3.52, 8 Mg 3.52, 2 Tl 3.61
Ba (0.5000, 0.5000, 0.5000)  2 Tl 3.52, 8 Mg 3.52, 2 Ba 3.61

Properties
Electronic total energy   -30.4062 eV/atom
ΔE_f   0.06 eV per atom
Space-group type   Cmmm (65)

---

Record 2
A plane-wave DFT calculation with meta-GGA SCAN was carried out for RePb3F at its PBEsol-relaxed geometry.

Cell lengths 5.2159, 5.2159, 5.2159 Å; angles 90.00, 90.00, 90.00 degrees
Closest atoms and distances in Å follow each position.
Fractional coordinates of all 5 atoms:
Re (0.0000, 0.0000, 0.0000)  6 Pb 2.61
Pb (0.0000, 0.5000, 0.0000)  2 Re 2.61
Pb (0.0000, 0.0000, 0.5000)  2 Re 2.61
Pb (0.5000, 0.0000, 0.0000)  2 Re 2.61
F (0.5000, 0.5000, 0.5000)  12 Pb 3.69

Properties
Electronic total energy   -60.5791 eV/atom
Energy relative to the elements, uncorrected   -0.183 eV per atom
Space-group type   Pm-3m (221)

---

Record 3
A plane-wave DFT calculation with meta-GGA SCAN was carried out for CdBiSbOs2 at its PBEsol-relaxed geometry.

Cell lengths 4.9749, 4.9749, 5.5524 Å; angles 90.00, 90.00, 90.00 degrees
Closest atoms and distances in Å follow each position.
Fractional coordinates of all 5 atoms:
Os (0.5000, 0.0000, 0.0000)  2 Bi 2.49
Os (0.0000, 0.5000, 0.0000)  2 Bi 2.49
Bi (0.0000, 0.0000, 0.0000)  4 Os 2.49, 2 Sb 2.78
Sb (0.0000, 0.0000, 0.5000)  2 Bi 2.78
Cd (0.5000, 0.5000, 0.5000)  4 Sb 3.52, 8 Os 3.73

Properties
Electronic total energy   -55.5957 eV/atom
Energy relative to the elements, uncorrected   2.407 eV per atom
Space-group type   P4/mmm (123)

---

Record 4
A plane-wave DFT calculation with meta-GGA SCAN was carried out for YFe2Pb at its PBEsol-relaxed geometry.

Cell lengths 3.3729, 4.3679, 5.4184 Å; angles 90.00, 90.56, 90.00 degrees
Closest atoms and distances in Å follow each position.
Fractional coordinates of all 4 atoms:
Fe (0.4635, 0.0000, 0.2927)  1 Fe 2.26
Fe (0.5365, 0.0000, 0.7073)  1 Fe 2.26
Pb (0.5000, 0.5000, 0.0000)  4 Fe 2.70
Y (0.0000, 0.5000, 0.5000)  8 Fe 2.92-3.04, 4 Pb 3.18-3.21

Properties
Electronic total energy   -34.7802 eV/atom
ΔE_f   0.19 eV per atom
Space-group type   P2/m (10)

---

Record 5
A plane-wave DFT calculation with meta-GGA SCAN was carried out for Rb2PtBr at its PBEsol-relaxed geometry.

Cell lengths 5.6854, 5.6854, 5.6854 Å; angles 60.00, 60.00, 60.00 degrees
Closest atoms and distances in Å follow each position.
Fractional coordinates of all 4 atoms:
Br (0.0000, 0.0000, 0.0000)  8 Rb 3.48
Pt (0.5000, 0.5000, 0.5000)  8 Rb 3.48
Rb (0.7500, 0.7500, 0.7500)  4 Pt 3.48, 4 Br 3.48
Rb (0.2500, 0.2500, 0.2500)  4 Br 3.48, 4 Pt 3.48

Properties
Electronic total energy   -33.2430 eV/atom
Energy relative to the elements, uncorrected   -0.460 eV per atom
Space-group type   Fm-3m (225)

---

Record 6
A plane-wave DFT calculation with meta-GGA SCAN was carried out for Al2AgN2 at its PBEsol-relaxed geometry.

Cell lengths 3.7817, 3.7817, 5.9141 Å; angles 108.65, 108.65, 90.00 degrees
Closest atoms and distances in Å follow each position.
Fractional coordinates of all 5 atoms:
Al (0.2622, 0.2622, 0.5244)  4 N 1.90
Al (0.7378, 0.7378, 0.4756)  4 N 1.90
Ag (0.0000, 0.0000, 0.0000)  2 Al 2.77
N (0.2500, 0.7500, 0.5000)  4 Al 1.90
N (0.7500, 0.2500, 0.5000)  4 Al 1.90

Properties
Electronic total energy   -13.4977 eV/atom
Energy relative to the elements, uncorrected   -0.407 eV per atom
Space-group type   I4/mmm (139)

---

Record 7
A plane-wave DFT calculation with meta-GGA SCAN was carried out for PaInAu2 at its PBEsol-relaxed geometry.

Cell lengths 4.8966, 4.8966, 4.8966 Å; angles 60.00, 60.00, 60.00 degrees
Closest atoms and distances in Å follow each position.
Fractional coordinates of all 4 atoms:
In (0.0000, 0.0000, 0.0000)  8 Au 3.00
Pa (0.5000, 0.5000, 0.5000)  8 Au 3.00
Au (0.7500, 0.7500, 0.7500)  4 Pa 3.00, 4 In 3.00
Au (0.2500, 0.2500, 0.2500)  4 Pa 3.00, 4 In 3.00

Properties
Electronic total energy   -68.3414 eV/atom
ΔE_f   -0.50 eV per atom
Space-group type   Fm-3m (225)

---

Record 8
A plane-wave DFT calculation with meta-GGA SCAN was carried out for HfTiHg2Te at its PBEsol-relaxed geometry.

Cell lengths 4.7902, 5.3683, 5.3683 Å; angles 90.00, 90.00, 90.00 degrees
Closest atoms and distances in Å follow each position.
Fractional coordinates of all 5 atoms:
Ti (0.5000, 0.0000, 0.0000)  2 Hf 2.40
Hg (0.0000, 0.0000, 0.5000)  2 Hf 2.68
Hg (0.0000, 0.5000, 0.0000)  2 Hf 2.68
Te (0.5000, 0.5000, 0.5000)  8 Hg 3.60, 4 Ti 3.80
Hf (0.0000, 0.0000, 0.0000)  2 Ti 2.40

Properties
Electronic total energy   -49.6634 eV/atom
Energy relative to the elements, uncorrected   0.794 eV per atom
Space-group type   P4/mmm (123)

---

Question: Which formula does entry 5 have?
Answer: Rb2PtBr

---

Question: Which value of electronic total energy does entry 6 give?
Answer: -13.4977 eV/atom

---

Question: The lowest electronic total energy belongs to which entry?
Answer: PaInAu2

---

Question: Which formula does entry 4 have?
Answer: YFe2Pb